Computed, not measured: an optimized crystal structure of KLi2 at the PBE level of DFT.

a b c (Å): 7.841 7.841 7.841
angles (deg): 90.00 90.00 90.00
Atoms (fractional coordinates):
K 0.000 0.000 0.000
K 0.000 0.500 0.500
K 0.500 0.000 0.500
K 0.500 0.500 0.000
Li 0.107 0.607 0.893
Li 0.107 0.893 0.393
Li 0.393 0.107 0.893
Li 0.393 0.393 0.393
Li 0.607 0.607 0.607
Li 0.607 0.893 0.107
Li 0.893 0.107 0.607
Li 0.893 0.393 0.107

relative energy among the computed polymorphs	0.331	eV/atom
formation enthalpy at 0 K	0.42	eV/atom